[1]
Compound: LiSbPt2
Source: the Alexandria database
Functional: PBEsol
Structure: optimized geometry

## Properties
DFT total energy: -5.63 eV per atom

a = 3.876 Å, b = 4.007 Å, c = 4.007 Å
α = 90.00°, β = 90.00°, γ = 90.00°
Element x y z (fractional)
Sb1 0.500 0.000 0.000
Pt1 0.000 0.000 0.500
Pt2 0.000 0.500 0.000
Li1 0.500 0.500 0.500

---

[2]
Compound: TcHgN2
Source: the Alexandria database
Functional: PBEsol
Structure: optimized geometry

## Properties
DFT total energy: -7.05 eV per atom

a = 5.897 Å, b = 5.897 Å, c = 5.897 Å
α = 60.00°, β = 60.00°, γ = 60.00°
Element x y z (fractional)
N1 0.625 0.125 0.625
N2 0.125 0.625 0.625
N3 0.625 0.625 0.125
N4 0.625 0.625 0.625
Hg1 0.000 0.000 0.000
Hg2 0.250 0.250 0.250
Tc1 0.500 0.500 0.500
Tc2 0.750 0.750 0.750

---

[3]
Compound: CoMoOs
Source: the Alexandria database
Functional: PBEsol
Structure: optimized geometry

## Properties
DFT total energy: -9.85 eV per atom

a = 4.044 Å, b = 4.044 Å, c = 4.044 Å
α = 60.00°, β = 60.00°, γ = 60.00°
Element x y z (fractional)
Co1 0.500 0.500 0.500
Mo1 0.250 0.250 0.250
Os1 0.000 0.000 0.000

---

[4]
Compound: Li2CrBr
Source: the Alexandria database
Functional: PBEsol
Structure: optimized geometry

## Properties
energy above the most stable polymorph in this dataset: 202.5 meV/atom

a = 6.132 Å, b = 6.132 Å, c = 6.132 Å
α = 108.26°, β = 108.26°, γ = 111.92°
Last column: magnetic moment on the atom in μB.
Element x y z (fractional)
Cr1 0.750 0.250 0.500  4.18
Cr2 0.500 0.500 0.000  4.18
Br1 0.250 0.750 0.500  0.03
Br2 0.000 0.000 0.000  0.03
Li1 0.922 0.875 0.547  0.01
Li2 0.328 0.375 0.453  0.01
Li3 0.625 0.078 0.953  0.01
Li4 0.125 0.672 0.047  0.01